This record from the Open Quantum Materials Database describes an optimized crystal structure of KFeCuTe2Se. The functional is PBE.

Cell: 7.8466 7.8466 10.3019 Å, 90.00 90.00 151.21°
Site moments in Bohr magnetons follow the coordinates.
Element x y z (fractional)
Cu: 0.9669 0.0331 0.2500  0.05
Cu: 0.0331 0.9669 0.7500  0.05
Fe: 0.5000 0.5000 0.0000  2.27
Fe: 0.5000 0.5000 0.5000  2.27
K: 0.2462 0.7538 0.2500  0.00
K: 0.7538 0.2462 0.7500  0.00
Se: 0.5603 0.4397 0.2500  0.00
Se: 0.4397 0.5603 0.7500  0.00
Te: 0.8846 0.1154 0.0334  -0.04
Te: 0.8846 0.1154 0.4666  -0.04
Te: 0.1154 0.8846 0.5334  -0.04
Te: 0.1154 0.8846 0.9666  -0.04

Values from the calculation:
The crystal system is orthorhombic. For the size of the total moment, the calculation gives 4.5 Bohr magnetons per cell. The value obtained for the calculated total energy is -4.100 eV/atom.